Record 1
# Rb2MgHgI6, relaxed, DFT PBE
# **Density**: 3.5 g cm⁻³
# **Formation energy without anion corrections**: -0.97 eV/atom
# **Crystal system**: triclinic
data_Rb2MgHgI6
_chemical_formula_sum 'Rb2 Mg1 Hg1 I6'
_cell_length_a 8.215
_cell_length_b 8.264
_cell_length_c 9.817
_cell_angle_alpha 97.99
_cell_angle_beta 108.97
_cell_angle_gamma 114.76
_space_group_name_H-M_alt 'P 1'
_space_group_IT_number 1
loop_
_space_group_symop_operation_xyz
'x,y,z'
loop_
_atom_site_label
_atom_site_type_symbol
_atom_site_fract_x
_atom_site_fract_y
_atom_site_fract_z
_atom_site_occupancy
Rb1 Rb 0.000 0.000 0.000 1
Rb2 Rb 0.019 0.489 0.441 1
Mg1 Mg 0.519 0.836 0.273 1
Hg1 Hg 0.488 0.250 0.654 1
I1 I 0.163 0.513 0.130 1
I2 I 0.199 0.258 0.729 1
I3 I 0.519 0.120 0.165 1
I4 I 0.541 0.939 0.585 1
I5 I 0.770 0.587 0.658 1
I6 I 0.848 0.819 0.287 1



Record 2
# RbMgHgI2, relaxed, DFT PBE
# **Density**: 4.4 g cm⁻³
# **Formation energy without anion corrections**: -0.76 eV/atom
# **Crystal system**: tetragonal
data_RbMgHgI2
_chemical_formula_sum 'Rb1 Mg1 Hg1 I2'
_cell_length_a 6.164
_cell_length_b 6.164
_cell_length_c 5.549
_cell_angle_alpha 90.00
_cell_angle_beta 90.00
_cell_angle_gamma 90.00
_space_group_name_H-M_alt 'P 4/m m m'
_space_group_IT_number 123
_space_group_name_Hall '-P 4 2'
loop_
_atom_site_label
_atom_site_type_symbol
_atom_site_fract_x
_atom_site_fract_y
_atom_site_fract_z
_atom_site_occupancy
Rb1 Rb 0.000 0.000 0.000 1
Mg1 Mg 0.500 0.500 0.500 1
Hg1 Hg 0.500 0.500 0.000 1
I1 I 0.000 0.500 0.500 1



Record 3
# Rb2MgHgI6, relaxed, DFT PBE
# **Density**: 4.5 g cm⁻³
# **Formation energy without anion corrections**: -0.91 eV/atom
# **Crystal system**: cubic
data_Rb2MgHgI6
_chemical_formula_sum 'Rb8 Mg4 Hg4 I24'
_cell_length_a 11.957
_cell_length_b 11.957
_cell_length_c 11.957
_cell_angle_alpha 90.00
_cell_angle_beta 90.00
_cell_angle_gamma 90.00
_space_group_name_H-M_alt 'F m -3 m'
_space_group_IT_number 225
_space_group_name_Hall '-F 4 2 3'
loop_
_atom_site_label
_atom_site_type_symbol
_atom_site_fract_x
_atom_site_fract_y
_atom_site_fract_z
_atom_site_occupancy
Rb1 Rb 0.250 0.250 0.250 1
Mg1 Mg 0.000 0.000 0.000 1
Hg1 Hg 0.000 0.000 0.500 1
I1 I 0.000 0.000 0.246 1



Record 4
# MgHgSbI6, relaxed, DFT PBE
# **Density**: 5.0 g cm⁻³
# **Formation energy without anion corrections**: -0.46 eV/atom
# **Crystal system**: monoclinic
data_MgHgSbI6
_chemical_formula_sum 'Mg2 Hg2 Sb2 I12'
_cell_length_a 7.610
_cell_length_b 13.176
_cell_length_c 7.367
_cell_angle_alpha 90.00
_cell_angle_beta 90.31
_cell_angle_gamma 90.00
_space_group_name_H-M_alt 'C 1 2 1'
_space_group_IT_number 5
loop_
_space_group_symop_operation_xyz
'x,y,z'
'-x,y,-z'
'x+1/2,y+1/2,z'
'-x+1/2,y+1/2,-z'
loop_
_atom_site_label
_atom_site_type_symbol
_atom_site_fract_x
_atom_site_fract_y
_atom_site_fract_z
_atom_site_occupancy
Mg1 Mg 0.000 0.000 0.000 1
Hg1 Hg 0.000 0.666 0.500 1
Sb1 Sb 0.000 0.333 0.000 1
I1 I 0.144 0.162 0.766 1
I2 I 0.169 0.847 0.766 1
I3 I 0.183 0.491 0.766 1



Record 5
# MgScHgI6, relaxed, DFT PBE
# **Density**: 4.9 g cm⁻³
# **Formation energy without anion corrections**: -0.86 eV/atom
# **Crystal system**: monoclinic
data_MgScHgI6
_chemical_formula_sum 'Mg2 Sc2 Hg2 I12'
_cell_length_a 7.494
_cell_length_b 12.996
_cell_length_c 7.240
_cell_angle_alpha 90.00
_cell_angle_beta 90.13
_cell_angle_gamma 90.00
_space_group_name_H-M_alt 'C 1 2 1'
_space_group_IT_number 5
loop_
_space_group_symop_operation_xyz
'x,y,z'
'-x,y,-z'
'x+1/2,y+1/2,z'
'-x+1/2,y+1/2,-z'
loop_
_atom_site_label
_atom_site_type_symbol
_atom_site_fract_x
_atom_site_fract_y
_atom_site_fract_z
_atom_site_occupancy
Mg1 Mg 0.000 0.000 0.000 1
Sc1 Sc 0.000 0.666 0.000 1
Hg1 Hg 0.000 0.333 0.500 1
I1 I 0.138 0.832 0.229 1
I2 I 0.179 0.515 0.230 1
I3 I 0.184 0.153 0.230 1



Record 6
# MgSiHgI2, relaxed, DFT PBE
# **Density**: 4.2 g cm⁻³
# **Formation energy without anion corrections**: 0.71 eV/atom
# **Crystal system**: tetragonal
data_MgSiHgI2
_chemical_formula_sum 'Mg1 Si1 Hg1 I2'
_cell_length_a 6.165
_cell_length_b 6.165
_cell_length_c 5.250
_cell_angle_alpha 90.00
_cell_angle_beta 90.00
_cell_angle_gamma 90.00
_space_group_name_H-M_alt 'P 4/m m m'
_space_group_IT_number 123
_space_group_name_Hall '-P 4 2'
loop_
_atom_site_label
_atom_site_type_symbol
_atom_site_fract_x
_atom_site_fract_y
_atom_site_fract_z
_atom_site_occupancy
Mg1 Mg 0.000 0.000 0.000 1
Si1 Si 0.500 0.500 0.000 1
Hg1 Hg 0.000 0.000 0.500 1
I1 I 0.000 0.500 0.500 1



Record 7
# MgUHgI6, relaxed, DFT PBE
# **Density**: 4.2 g cm⁻³
# **Formation energy without anion corrections**: -0.78 eV/atom
# **Crystal system**: trigonal
data_MgUHgI6
_chemical_formula_sum 'Mg1 U1 Hg1 I6'
_cell_length_a 7.5404
_cell_length_b 7.5404
_cell_length_c 9.7476
_cell_angle_alpha 90.00
_cell_angle_beta 90.00
_cell_angle_gamma 120.00
_space_group_name_H-M_alt 'P 3 1 2'
_space_group_IT_number 149
loop_
_space_group_symop_operation_xyz
'x,y,z'
'-y,x-y,z'
'-x+y,-x,z'
'-y,-x,-z'
'-x+y,y,-z'
'x,x-y,-z'
loop_
_atom_site_label
_atom_site_type_symbol
_atom_site_fract_x
_atom_site_fract_y
_atom_site_fract_z
_atom_site_occupancy
Mg1 Mg 0.0000 0.0000 0.0000 1
U1 U 0.6667 0.3333 0.0000 1
Hg1 Hg 0.3333 0.6667 0.5000 1
I1 I 0.3261 0.0173 0.1780 1



Record 8
# MgHgWI2, relaxed, DFT PBE
# **Density**: 5.6 g cm⁻³
# **Formation energy without anion corrections**: 1.43 eV/atom
# **Crystal system**: tetragonal
data_MgHgWI2
_chemical_formula_sum 'Mg1 Hg1 W1 I2'
_cell_length_a 6.155
_cell_length_b 6.155
_cell_length_c 5.191
_cell_angle_alpha 90.00
_cell_angle_beta 90.00
_cell_angle_gamma 90.00
_space_group_name_H-M_alt 'P 4/m m m'
_space_group_IT_number 123
_space_group_name_Hall '-P 4 2'
loop_
_atom_site_label
_atom_site_type_symbol
_atom_site_fract_x
_atom_site_fract_y
_atom_site_fract_z
_atom_site_occupancy
Mg1 Mg 0.000 0.000 0.000 1
Hg1 Hg 0.000 0.000 0.500 1
W1 W 0.500 0.500 0.000 1
I1 I 0.000 0.500 0.500 1



Record 9
# MnHgI2, relaxed, DFT PBE
# **Density**: 5.6 g cm⁻³
# **Formation energy without anion corrections**: 0.32 eV/atom
# **Crystal system**: tetragonal
data_MnHgI2
_chemical_formula_sum 'Mn4 Hg4 I8'
_cell_length_a 7.795
_cell_length_b 7.795
_cell_length_c 9.891
_cell_angle_alpha 90.00
_cell_angle_beta 90.00
_cell_angle_gamma 90.00
_space_group_name_H-M_alt 'I -4 2 d'
_space_group_IT_number 122
_space_group_name_Hall 'I -4 2bw'
loop_
_atom_site_label
_atom_site_type_symbol
_atom_site_fract_x
_atom_site_fract_y
_atom_site_fract_z
_atom_site_occupancy
Mn1 Mn 0.000 0.000 0.000 1
Hg1 Hg 0.000 0.000 0.500 1
I1 I 0.124 0.250 0.125 1



Record 10
# Mn2HgI8, relaxed, DFT PBE
# **Density**: 4.4 g cm⁻³
# **Formation energy without anion corrections**: -0.23 eV/atom
# **Crystal system**: monoclinic
data_Mn2HgI8
_chemical_formula_sum 'Mn4 Hg2 I16'
_cell_length_a 12.598
_cell_length_b 11.205
_cell_length_c 7.221
_cell_angle_alpha 90.00
_cell_angle_beta 100.25
_cell_angle_gamma 90.00
_space_group_name_H-M_alt 'C 1 2/m 1'
_space_group_IT_number 12
loop_
_space_group_symop_operation_xyz
'x,y,z'
'-x,-y,-z'
'-x,y,-z'
'x,-y,z'
'x+1/2,y+1/2,z'
'-x+1/2,-y+1/2,-z'
'-x+1/2,y+1/2,-z'
'x+1/2,-y+1/2,z'
loop_
_atom_site_label
_atom_site_type_symbol
_atom_site_fract_x
_atom_site_fract_y
_atom_site_fract_z
_atom_site_occupancy
Mn1 Mn 0.211 0.000 0.166 1
Hg1 Hg 0.000 0.000 0.500 1
I1 I 0.084 0.500 0.713 1
I2 I 0.109 0.181 0.288 1
I3 I 0.220 0.000 0.810 1



Record 11
# MnHgI2, relaxed, DFT PBE
# **Density**: 4.9 g cm⁻³
# **Formation energy without anion corrections**: -0.30 eV/atom
# **Crystal system**: trigonal
data_MnHgI2
_chemical_formula_sum 'Mn3 Hg3 I6'
_cell_length_a 4.1255
_cell_length_b 4.1255
_cell_length_c 35.2436
_cell_angle_alpha 90.00
_cell_angle_beta 90.00
_cell_angle_gamma 120.00
_space_group_name_H-M_alt 'R -3 m'
_space_group_IT_number 166
_space_group_name_Hall '-R 3 2"'
loop_
_atom_site_label
_atom_site_type_symbol
_atom_site_fract_x
_atom_site_fract_y
_atom_site_fract_z
_atom_site_occupancy
Mn1 Mn 0.0000 0.0000 0.0000 1
Hg1 Hg 0.0000 0.0000 0.5000 1
I1 I 0.0000 0.0000 0.3805 1